1.
Compound: TcBi3N
Source: the Alexandria database
Functional: PBE-GGA
Structure: relaxed

The calculation puts the formation energy without anion corrections at 1.497 eV per atom. The value obtained for the total DFT energy (no corrections) is -4.569 eV per atom.

The structure in CIF format:
```
data_TcBi3N
_cell_length_a 5.217
_cell_length_b 5.217
_cell_length_c 5.217
_cell_angle_alpha 90.00
_cell_angle_beta 90.00
_cell_angle_gamma 90.00
_symmetry_space_group_name_H-M 'P m -3 m'
_symmetry_Int_Tables_number 221
_symmetry_space_group_name_Hall '-P 4 2 3'
loop_
_atom_site_label
_atom_site_type_symbol
_atom_site_fract_x
_atom_site_fract_y
_atom_site_fract_z
Tc1 Tc 0.000 0.000 0.000
Bi1 Bi 0.000 0.000 0.500
N1 N 0.500 0.500 0.500
```

2.
Compound: FePC
Source: the Alexandria database
Functional: PBE-GGA
Structure: relaxed

The value obtained for the total DFT energy (no corrections) is -7.535 eV per atom.

The structure in CIF format:
```
data_FePC
_cell_length_a 2.776
_cell_length_b 3.159
_cell_length_c 15.585
_cell_angle_alpha 90.00
_cell_angle_beta 90.00
_cell_angle_gamma 90.00
_symmetry_space_group_name_H-M 'I m m 2'
_symmetry_Int_Tables_number 44
loop_
_symmetry_equiv_pos_as_xyz
'x,y,z'
'-x,-y,z'
'-x,y,z'
'x,-y,z'
'x+1/2,y+1/2,z+1/2'
'-x+1/2,-y+1/2,z+1/2'
'-x+1/2,y+1/2,z+1/2'
'x+1/2,-y+1/2,z+1/2'
loop_
_atom_site_label
_atom_site_type_symbol
_atom_site_fract_x
_atom_site_fract_y
_atom_site_fract_z
Fe1 Fe 0.000 0.000 0.000
Fe2 Fe 0.000 0.500 0.346
P1 P 0.000 0.000 0.239
P2 P 0.000 0.500 0.906
C1 C 0.000 0.500 0.583
C2 C 0.000 0.500 0.670
```

3.
Compound: Sm2Tm2Bi2P
Source: the Alexandria database
Functional: PBE-GGA
Structure: relaxed

The value obtained for the total DFT energy (no corrections) is -5.331 eV per atom.

The structure in CIF format:
```
data_Sm2Tm2Bi2P
_cell_length_a 5.084
_cell_length_b 5.084
_cell_length_c 16.464
_cell_angle_alpha 90.00
_cell_angle_beta 90.00
_cell_angle_gamma 90.00
_symmetry_space_group_name_H-M 'I 4/m m m'
_symmetry_Int_Tables_number 139
_symmetry_space_group_name_Hall '-I 4 2'
loop_
_atom_site_label
_atom_site_type_symbol
_atom_site_fract_x
_atom_site_fract_y
_atom_site_fract_z
Sm1 Sm 0.000 0.000 0.167
Tm1 Tm 0.000 0.500 0.000
Bi1 Bi 0.000 0.000 0.365
P1 P 0.000 0.000 0.000
```

4.
Compound: Tb6PmY2Ho
Source: the Alexandria database
Functional: PBE-GGA
Structure: relaxed

The value obtained for the total DFT energy (no corrections) is -4.878 eV per atom.

The structure in CIF format:
```
data_Tb6PmY2Ho
_cell_length_a 9.147
_cell_length_b 15.064
_cell_length_c 9.571
_cell_angle_alpha 90.00
_cell_angle_beta 97.35
_cell_angle_gamma 90.00
_symmetry_space_group_name_H-M 'C 1 2/c 1'
_symmetry_Int_Tables_number 15
loop_
_symmetry_equiv_pos_as_xyz
'x,y,z'
'-x,-y,-z'
'-x,y,-z+1/2'
'x,-y,z+1/2'
'x+1/2,y+1/2,z'
'-x+1/2,-y+1/2,-z'
'-x+1/2,y+1/2,-z+1/2'
'x+1/2,-y+1/2,z+1/2'
loop_
_atom_site_label
_atom_site_type_symbol
_atom_site_fract_x
_atom_site_fract_y
_atom_site_fract_z
Tb1 Tb 0.064 0.182 0.444
Tb2 Tb 0.099 0.392 0.619
Tb3 Tb 0.204 0.226 0.816
Pm1 Pm 0.000 0.407 0.250
Y1 Y 0.246 0.050 0.045
Ho1 Ho 0.000 0.027 0.750
```

5.
Compound: Sr2Cl3
Source: the Alexandria database
Functional: PBE-GGA
Structure: relaxed

The calculation puts the formation energy without anion corrections at -2.022 eV per atom. The value obtained for the total DFT energy (no corrections) is -3.802 eV per atom.

The structure in CIF format:
```
data_Sr2Cl3
_cell_length_a 5.1507
_cell_length_b 5.1507
_cell_length_c 6.1507
_cell_angle_alpha 90.00
_cell_angle_beta 90.00
_cell_angle_gamma 120.00
_symmetry_space_group_name_H-M 'P -3 m 1'
_symmetry_Int_Tables_number 164
_symmetry_space_group_name_Hall '-P 3 2"'
loop_
_atom_site_label
_atom_site_type_symbol
_atom_site_fract_x
_atom_site_fract_y
_atom_site_fract_z
Sr1 Sr 0.3333 0.6667 0.2726
Cl1 Cl 0.0000 0.0000 0.5000
Cl2 Cl 0.3333 0.6667 0.7818
```

6.
Compound: TaB2AsI
Source: the Alexandria database
Functional: PBE-GGA
Structure: relaxed

The calculation puts the formation energy without anion corrections at 1.708 eV per atom. The value obtained for the total DFT energy (no corrections) is -4.573 eV per atom.

The structure in CIF format:
```
data_TaB2AsI
_cell_length_a 4.190
_cell_length_b 4.190
_cell_length_c 5.222
_cell_angle_alpha 90.00
_cell_angle_beta 90.00
_cell_angle_gamma 90.00
_symmetry_space_group_name_H-M 'P 4/m m m'
_symmetry_Int_Tables_number 123
_symmetry_space_group_name_Hall '-P 4 2'
loop_
_atom_site_label
_atom_site_type_symbol
_atom_site_fract_x
_atom_site_fract_y
_atom_site_fract_z
Ta1 Ta 0.000 0.000 0.000
B1 B 0.000 0.500 0.500
As1 As 0.000 0.000 0.500
I1 I 0.500 0.500 0.000
```

7.
Compound: TiNbCoTc
Source: the Alexandria database
Functional: PBE-GGA
Structure: relaxed

The value obtained for the total DFT energy (no corrections) is -9.193 eV per atom.

The structure in CIF format:
```
data_TiNbCoTc
_cell_length_a 3.126
_cell_length_b 3.126
_cell_length_c 6.043
_cell_angle_alpha 90.00
_cell_angle_beta 90.00
_cell_angle_gamma 90.00
_symmetry_space_group_name_H-M 'P 4 m m'
_symmetry_Int_Tables_number 99
loop_
_symmetry_equiv_pos_as_xyz
'x,y,z'
'-y,x,z'
'-x,-y,z'
'y,-x,z'
'-x,y,z'
'y,x,z'
'x,-y,z'
'-y,-x,z'
loop_
_atom_site_label
_atom_site_type_symbol
_atom_site_fract_x
_atom_site_fract_y
_atom_site_fract_z
Ti1 Ti 0.000 0.000 0.000
Nb1 Nb 0.000 0.000 0.491
Co1 Co 0.500 0.500 0.241
Tc1 Tc 0.500 0.500 0.752
```

8.
Compound: KMn3
Source: the Alexandria database
Functional: PBE-GGA
Structure: relaxed

The value obtained for the total DFT energy (no corrections) is -6.312 eV per atom.

The structure in CIF format:
```
data_KMn3
_cell_length_a 2.9956
_cell_length_b 2.9956
_cell_length_c 9.6654
_cell_angle_alpha 90.00
_cell_angle_beta 90.00
_cell_angle_gamma 120.00
_symmetry_space_group_name_H-M 'P -6 m 2'
_symmetry_Int_Tables_number 187
_symmetry_space_group_name_Hall 'P -6 2'
loop_
_atom_site_label
_atom_site_type_symbol
_atom_site_fract_x
_atom_site_fract_y
_atom_site_fract_z
K1 K 0.0000 0.0000 0.0000
Mn1 Mn 0.0000 0.0000 0.5000
Mn2 Mn 0.6667 0.3333 0.3155
```

Q: What is the formula in the third record?
A: Sm2Tm2Bi2P

Q: Which formula does entry 3 have?
A: Sm2Tm2Bi2P

Q: What is the total DFT energy (no corrections) in the second record?
A: -7.535 eV per atom

Q: Among the records above, which one has the lowest total DFT energy (no corrections)?
A: TiNbCoTc